Record 1
This record from Alexandria via LeMat-Bulk describes crystalline Ti3InN at its relaxed geometry. The functional is PBE.

Lattice parameters (Å, degrees): 5.076 5.076 5.076 90.00 90.00 90.00
Last column: magnetic moment on the atom in μB.
Positions (direct):
Ti 0.000 0.000 0.500  1.33
Ti 0.000 0.500 0.000  1.32
Ti 0.500 0.000 0.000  1.38
N 0.500 0.500 0.500  -1.00
In 0.000 0.000 0.000  -0.05

Results
Space group: Pm-3m, No. 221
Calculated density (Mg/m³): 3.5
Energy relative to the elements, uncorrected (kJ per mole of atoms): 203



Record 2
This record from Alexandria via LeMat-Bulk describes crystalline Ti8InN2 at its relaxed geometry. The functional is PBE.

Lattice parameters (Å, degrees): 4.191 6.797 6.797 120.91 93.02 93.02
Positions (direct):
Ti 0.046 0.379 0.108
Ti 0.954 0.892 0.621
Ti 0.500 0.252 0.748
Ti 0.954 0.621 0.892
Ti 0.656 0.395 0.395
Ti 0.500 0.748 0.252
Ti 0.344 0.605 0.605
Ti 0.046 0.108 0.379
In 0.500 0.000 0.000
N 0.000 0.252 0.748
N 0.000 0.748 0.252

Results
Space group: C2/m, No. 12
Calculated density (Mg/m³): 5.3
Energy relative to the elements, uncorrected (kJ per mole of atoms): -48